# 1
CaTbGa4: optimized geometry, PBE.

- Density: 6.52 g cm⁻³
- E: -0.2648 Ry/atom
- Energy of formation from the pure elements: -0.480 eV/atom
- Crystal system: cubic

abc: 7.8661 7.8661 7.8661
angles: 90.00 90.00 90.00
Space group F-43m (No. 216)
Symmetry-distinct sites (fractional):
Ca  0.0000  0.0000  0.0000 (multiplicity 4)
Tb  0.2500  0.2500  0.7500 (multiplicity 4)
Ga  0.1247  0.1247  0.3753 (multiplicity 16)

---

# 2
Ca2TbGa: optimized geometry, PBE.

- Density: 3.71 g cm⁻³
- E: -0.1992 Ry/atom
- Energy of formation from the pure elements: 0.205 eV/atom
- Crystal system: trigonal

abc: 3.6052 3.6052 36.8161
angles: 90.00 90.00 120.00
Space group R-3m (No. 166, hexagonal axes)
Symmetry-distinct sites (fractional):
Ca  0.0000  0.0000  0.0836 (multiplicity 6)
Tb  0.0000  0.0000  0.5000 (multiplicity 3)
Ga  0.0000  0.0000  0.0000 (multiplicity 3)

---

# 3
Ca2TbGa3: optimized geometry, PBE.

- Density: 5.14 g cm⁻³
- E: -0.2530 Ry/atom
- Energy of formation from the pure elements: -0.489 eV/atom
- Crystal system: orthorhombic

abc: 5.1292 15.4025 7.3293
angles: 90.00 90.00 90.00
Space group Cmmm (No. 65)
Symmetry-distinct sites (fractional):
Ca  0.0000  0.0000  0.0000 (multiplicity 2)
Ca  0.0000  0.0000  0.5000 (multiplicity 2)
Ca  0.0000  0.3343  0.0000 (multiplicity 4)
Tb  0.0000  0.3380  0.5000 (multiplicity 4)
Ga  0.0000  0.1705  0.2574 (multiplicity 8)
Ga  0.0000  0.5000  0.2517 (multiplicity 4)

---

# 4
CaTb2Ga4: optimized geometry, PBE.

- Density: 6.32 g cm⁻³
- E: -0.2861 Ry/atom
- Energy of formation from the pure elements: -0.554 eV/atom
- Crystal system: orthorhombic

abc: 4.1540 4.3655 18.4429
angles: 90.00 90.00 90.00
Space group Immm (No. 71)
Symmetry-distinct sites (fractional):
Ca  0.0000  0.0000  0.0000 (multiplicity 2)
Tb  0.0000  0.5000  0.3150 (multiplicity 4)
Ga  0.0000  0.0000  0.4327 (multiplicity 4)
Ga  0.0000  0.5000  0.1491 (multiplicity 4)

---

# 5
CaTbGa: optimized geometry, PBE.

- Density: 5.02 g cm⁻³
- E: -0.2581 Ry/atom
- Energy of formation from the pure elements: -0.293 eV/atom
- Crystal system: tetragonal

abc: 3.5770 3.5770 27.7633
angles: 90.00 90.00 90.00
Space group I4/mmm (No. 139)
Symmetry-distinct sites (fractional):
Ca  0.0000  0.0000  0.0701 (multiplicity 4)
Tb  0.0000  0.0000  0.2022 (multiplicity 4)
Ga  0.0000  0.0000  0.3624 (multiplicity 4)

---

# 6
CaTbGa: optimized geometry, PBE.

- Density: 5.65 g cm⁻³
- E: -0.2659 Ry/atom
- Energy of formation from the pure elements: -0.398 eV/atom
- Crystal system: hexagonal

abc: 5.2094 5.2094 6.7160
angles: 90.00 90.00 120.00
Space group P6_3/mmc (No. 194)
Symmetry-distinct sites (fractional):
Ca  0.0000  0.0000  0.0000 (multiplicity 2)
Tb  0.3333  0.6667  0.2500 (multiplicity 2)
Ga  0.3333  0.6667  0.7500 (multiplicity 2)

---

# 7
CaTb4Ga5: optimized geometry, PBE.

- Density: 7.27 g cm⁻³
- E: -0.3027 Ry/atom
- Energy of formation from the pure elements: -0.553 eV/atom
- Crystal system: tetragonal

abc: 3.5962 3.5962 18.0987
angles: 90.00 90.00 90.00
Space group P4/mmm (No. 123)
Symmetry-distinct sites (fractional):
Ca  0.0000  0.0000  0.0000 (multiplicity 1)
Tb  0.0000  0.0000  0.2024 (multiplicity 2)
Tb  0.0000  0.0000  0.4018 (multiplicity 2)
Ga  0.5000  0.5000  0.1051 (multiplicity 2)
Ga  0.5000  0.5000  0.3032 (multiplicity 2)
Ga  0.5000  0.5000  0.5000 (multiplicity 1)

---

# 8
Ca2TbGa6: optimized geometry, PBE.

- Density: 5.56 g cm⁻³
- E: -0.2576 Ry/atom
- Energy of formation from the pure elements: -0.528 eV/atom
- Crystal system: hexagonal

abc: 7.5281 7.5281 3.9994
angles: 90.00 90.00 120.00
Space group P6/mmm (No. 191)
Symmetry-distinct sites (fractional):
Ca  0.3333  0.6667  0.0000 (multiplicity 2)
Tb  0.0000  0.0000  0.0000 (multiplicity 1)
Ga  0.0000  0.3314  0.5000 (multiplicity 6)

---

# 9
CaTbGa4: optimized geometry, PBE.

- Density: 6.12 g cm⁻³
- E: -0.2705 Ry/atom
- Energy of formation from the pure elements: -0.558 eV/atom
- Crystal system: orthorhombic

abc: 4.3217 7.5691 7.9296
angles: 90.00 90.00 90.00
Space group Immm (No. 71)
Symmetry-distinct sites (fractional):
Ca  0.0000  0.0000  0.0000 (multiplicity 2)
Tb  0.0000  0.0000  0.5000 (multiplicity 2)
Ga  0.0000  0.3316  0.2285 (multiplicity 8)

---

# 10
CaTb4Ga4: optimized geometry, PBE.

- Density: 6.21 g cm⁻³
- E: -0.2925 Ry/atom
- Energy of formation from the pure elements: -0.354 eV/atom
- Crystal system: tetragonal

abc: 9.2497 9.2497 5.9664
angles: 90.00 90.00 90.00
Space group P4_2/n (No. 86, origin choice 2)
Symmetry-distinct sites (fractional):
Ca  0.2500  0.2500  0.2500 (multiplicity 2)
Tb  0.0785  0.6557  0.1279 (multiplicity 8)
Ga  0.0282  0.6085  0.6261 (multiplicity 8)

---

# 11
CaTbGa: optimized geometry, PBE.

- Density: 5.02 g cm⁻³
- E: -0.2573 Ry/atom
- Energy of formation from the pure elements: -0.281 eV/atom
- Crystal system: trigonal

abc: 5.0143 5.0143 8.1661
angles: 90.00 90.00 120.00
Space group P-3m1 (No. 164)
Symmetry-distinct sites (fractional):
Ca  0.3333  0.6667  0.3543 (multiplicity 2)
Tb  0.3333  0.6667  0.9005 (multiplicity 2)
Ga  0.0000  0.0000  0.1736 (multiplicity 2)

---

# 12
CaTbGa2: optimized geometry, PBE.

- Density: 5.33 g cm⁻³
- E: -0.2553 Ry/atom
- Energy of formation from the pure elements: -0.302 eV/atom
- Crystal system: trigonal

abc: 3.6765 3.6765 27.0480
angles: 90.00 90.00 120.00
Space group R-3m (No. 166, hexagonal axes)
Symmetry-distinct sites (fractional):
Ca  0.0000  0.0000  0.0000 (multiplicity 3)
Tb  0.0000  0.0000  0.5000 (multiplicity 3)
Ga  0.0000  0.0000  0.2482 (multiplicity 6)